1.
The following is a PBE calculation of crystalline Zr2TlBr at its relaxed geometry, from the Alexandria database.

Results
crystal system: trigonal
DOS at the Fermi energy: 3.121 states/eV per cell

```
4
Lattice="1.648 0.952 9.580 -1.648 0.952 9.580 0.000 -1.903 9.580" Properties=species:S:1:pos:R:3 pbc="T T T"
Zr 0.000 0.000 7.047
Zr 0.000 0.000 21.693
Tl 0.000 0.000 0.000
Br 0.000 0.000 14.370
```



2.
The following is a PBE calculation of crystalline ZrTlBr3 at its relaxed geometry, from the Alexandria database.

Results
crystal system: cubic
DOS at the Fermi energy: 4.774 states/eV per cell

```
5
Lattice="5.721 0.000 0.000 0.000 5.721 0.000 0.000 0.000 5.721" Properties=species:S:1:pos:R:3 pbc="T T T"
Zr 0.000 0.000 0.000
Tl 2.861 2.861 2.861
Br 0.000 2.861 2.861
Br 2.861 0.000 2.861
Br 2.861 2.861 0.000
```



| no. | E (eV per atom) | magnetic moment (μB/atom) |
| --- | --- | --- |
| 1 | -5.493 | 0.000 |
| 2 | -2.916 | 0.509 |